Na2VReO6: optimized geometry, PBE+U.

The value obtained for the theoretical density is 5.58 g cm⁻³. As for the electronic total energy: -7.018 eV per atom.

The structure belongs to space group P4/mmm (No. 123); the cell edges are 5.417, 5.417 and 3.843 Å and the angles 90.00°, 90.00° and 90.00°. The distinct sites, in fractional coordinates, are Na at (0.000, 0.500, 0.000), V at (0.000, 0.000, 0.500), Re at (0.500, 0.500, 0.500), O at (0.000, 0.000, 0.000), O at (0.250, 0.250, 0.500) and O at (0.500, 0.500, 0.000).